(a)
Computed, not measured: a relaxed structure of Zr3SbPb at the PBE-GGA level of DFT.

Results
Total magnetization in μB per cell: 0.0

Cell: 5.3107 5.3107 5.3107 Å, 90.00 90.00 90.00°
Fractional coordinates of all 5 atoms:
Pb  0.5000  0.5000  0.5000
Sb  0.0000  0.0000  0.0000
Zr  0.0000  0.5000  0.0000
Zr  0.5000  0.0000  0.0000
Zr  0.0000  0.0000  0.5000

=====

(b)
Computed, not measured: a relaxed structure of Zr3SbPb at the PBE-GGA level of DFT.

Results
Total magnetization in μB per cell: 0.0

Cell: 5.3625 5.3625 5.3625 Å, 90.00 90.00 90.00°
Fractional coordinates of all 5 atoms:
Pb  0.0000  0.0000  0.0000
Zr  0.0000  0.5000  0.0000
Zr  0.0000  0.0000  0.5000
Zr  0.5000  0.0000  0.0000
Sb  0.5000  0.5000  0.5000

=====

Tell me which of them is the most stable. Sure, it is (a).

=====

(a)
Computed, not measured: a relaxed structure of ScPb5 at the PBE-GGA level of DFT.

Results
Total magnetization in μB per cell: 0.0

Cell: 8.9361 8.9361 5.4535 Å, 90.00 90.00 156.22°
Fractional coordinates of all 6 atoms:
Sc  0.1195  0.8805  0.5000
Pb  0.4630  0.5370  0.5000
Pb  0.3269  0.6731  0.0000
Pb  0.6503  0.3497  0.0000
Pb  0.7799  0.2201  0.5000
Pb  0.9936  0.0064  0.0000

=====

(b)
Computed, not measured: a relaxed structure of ScPb5 at the PBE-GGA level of DFT.

Results
Total magnetization in μB per cell: 0.0

Cell: 6.0316 6.0316 5.5352 Å, 90.00 90.00 120.00°
Fractional coordinates of all 6 atoms:
Pb  0.3333  0.6667  0.5000
Pb  0.0000  0.6835  0.0000
Pb  0.3165  0.3165  0.0000
Pb  0.6667  0.3333  0.5000
Pb  0.6835  0.0000  0.0000
Sc  0.0000  0.0000  0.5000

=====

Tell me which of them is the most stable. Sure, it is (a).